ReNi2Br PBE relaxed; relative energy among the computed polymorphs = 78.3 meV per atom; SG = R-3m, No. 166
1.0
1.4346 0.8283 8.1679
-1.4346 0.8283 8.1679
0.0000 -1.6565 8.1679
Re Ni Br
1 2 1
direct
0.0000 0.0000 0.0000 Re
0.2533 0.2533 0.2533 Ni
0.7467 0.7467 0.7467 Ni
0.5000 0.5000 0.5000 Br

***

ZrSc2Tl PBE relaxed; DFT formation energy = 228 meV per atom; relative energy among the computed polymorphs = 395.6 meV per atom; SG = I-42d, No. 122
1.0
-2.1511 2.1511 10.6085
2.1511 -2.1511 10.6085
2.1511 2.1511 -10.6085
Zr Sc Tl
2 4 2
direct
0.0000 0.0000 0.0000 Zr
0.7500 0.2500 0.5000 Zr
0.1253 0.6250 0.0003 Sc
0.3750 0.3753 0.5003 Sc
0.6247 0.1250 0.9997 Sc
0.8750 0.8747 0.4997 Sc
0.2500 0.7500 0.5000 Tl
0.5000 0.5000 0.0000 Tl

***

Nd2LuTe PBE relaxed; relative energy among the computed polymorphs = 67.3 meV per atom; SG = R-3m, No. 166
1.0
1.9882 1.1479 9.8954
-1.9882 1.1479 9.8954
0.0000 -2.2958 9.8954
Nd Lu Te
2 1 1
direct
0.2402 0.2402 0.2402 Nd
0.7598 0.7598 0.7598 Nd
0.0000 0.0000 0.0000 Lu
0.5000 0.5000 0.5000 Te

***

YIrPb PBE relaxed; DFT formation energy = -440 meV per atom; SG = F-43m, No. 216
1.0
0.0000 3.3539 3.3539
3.3539 0.0000 3.3539
3.3539 3.3539 0.0000
Y Ir Pb
1 1 1
direct
0.0000 0.0000 0.0000 Y
0.2500 0.2500 0.2500 Ir
0.5000 0.5000 0.5000 Pb

***

Q: What is the formula in the fourth record?
A: YIrPb